# 1
Compound: GdErTlCu
Source: the Alexandria database
Functional: PBE
Structure: optimized geometry

Summary:
Magnetization = 7.48 μB/f.u.
DFT formation energy = -0.25 eV/atom
Uncorrected energy = -26.1 eV/f.u.
DOS(E_F) = 3.8 states/eV per cell

POSCAR file:
```
GdErTlCu
1.0
0.0000 3.6607 3.6607
3.6607 0.0000 3.6607
3.6607 3.6607 0.0000
Gd Er Tl Cu
1 1 1 1
Cartesian
0.0000 0.0000 0.0000
3.6607 3.6607 3.6607
5.4911 5.4911 5.4911
1.8304 1.8304 1.8304
```

# 2
Compound: Dy4ErMg2
Source: the Alexandria database
Functional: PBE
Structure: optimized geometry

Summary:
Polymorph energy (0 for the lowest one) = 0.0 meV/atom
Magnetization = 0.00 μB/f.u.
DFT formation energy = -0.02 eV/atom
Uncorrected energy = -26.3 eV/f.u.
DOS(E_F) = 8.1 states/eV per cell

POSCAR file:
```
Dy4ErMg2
1.0
2.7087 1.5639 7.9695
-2.7087 1.5639 7.9695
0.0000 -3.1278 7.9695
Dy Er Mg
4 1 2
Cartesian
0.0000 0.0000 1.7586
0.0000 0.0000 8.2614
0.0000 0.0000 15.6472
0.0000 0.0000 22.1500
0.0000 0.0000 11.9543
0.0000 0.0000 5.0390
0.0000 0.0000 18.8696
```

# 3
Compound: KP2PbS
Source: the Alexandria database
Functional: PBE
Structure: optimized geometry

Summary:
Polymorph energy (0 for the lowest one) = 0.0 meV/atom
Magnetization = 2.68 μB/f.u.
ΔE_f (raw) = 0.537 eV per atom
Uncorrected energy = -17.1 eV/f.u.
DOS(E_F) = 3.1 states/eV per cell

POSCAR file:
```
KP2PbS
1.0
5.3708 0.0000 0.0000
0.0000 5.3708 0.0000
0.0000 0.0000 5.4611
K P Pb S
1 2 1 1
Cartesian
0.0000 0.0000 0.0000
0.0000 2.6854 2.7305
2.6854 0.0000 2.7305
2.6854 2.6854 2.7305
2.6854 2.6854 0.0000
```

# 4
Compound: Dy12YTm5
Source: the Alexandria database
Functional: PBE
Structure: optimized geometry

Summary:
Magnetization = 0.00 μB/f.u.
DFT formation energy = 0.14 eV/atom
Uncorrected energy = -81.6 eV/f.u.
DOS(E_F) = 31.6 states/eV per cell

POSCAR file:
```
Dy12YTm5
1.0
5.7419 -5.1956 0.0000
5.7419 5.1956 0.0000
-5.2965 0.0000 9.5831
Dy Y Tm
12 1 5
Cartesian
0.4269 3.4599 6.2574
-2.2007 1.7349 7.9591
2.6245 0.0000 1.6389
5.7605 3.4599 3.3257
0.4248 0.0000 6.2319
-2.2007 -1.7349 7.9591
8.3881 1.7349 1.6240
5.7625 0.0000 3.3512
0.4269 -3.4599 6.2574
3.5629 0.0000 7.9442
8.3881 -1.7349 1.6240
5.7605 -3.4599 3.3257
5.7419 0.0000 0.0000
-2.6482 0.0000 4.7916
5.7419 3.4781 0.0000
3.0937 1.7350 4.7916
3.0937 -1.7350 4.7916
5.7419 -3.4781 0.0000
```

# 5
Compound: Th2Si4AgPt3
Source: the Alexandria database
Functional: PBE
Structure: optimized geometry

Summary:
Magnetization = 0.00 μB/f.u.
ΔE_f (raw) = -0.960 eV per atom
Uncorrected energy = -67.1 eV/f.u.
DOS(E_F) = 4.5 states/eV per cell

POSCAR file:
```
Th2Si4AgPt3
1.0
4.3074 0.0000 0.0000
0.0000 4.3074 0.0000
0.0000 0.0000 9.9215
Th Si Ag Pt
2 4 1 3
Cartesian
0.0000 2.1537 2.4298
2.1537 0.0000 7.4917
0.0000 0.0000 0.0000
0.0000 2.1537 6.3317
2.1537 0.0000 3.5898
2.1537 2.1537 0.0000
0.0000 0.0000 4.9607
0.0000 2.1537 8.7676
2.1537 0.0000 1.1539
2.1537 2.1537 4.9607
```

# 6
Compound: PmTmGePt
Source: the Alexandria database
Functional: PBE
Structure: optimized geometry

Summary:
Polymorph energy (0 for the lowest one) = 130.2 meV/atom
Magnetization = 0.00 μB/f.u.
DFT formation energy = -0.90 eV/atom
Uncorrected energy = -23.5 eV/f.u.
DOS(E_F) = 1.3 states/eV per cell

POSCAR file:
```
PmTmGePt
1.0
0.0000 3.5670 3.5670
3.5670 0.0000 3.5670
3.5670 3.5670 0.0000
Pm Tm Ge Pt
1 1 1 1
Cartesian
0.0000 0.0000 0.0000
3.5670 3.5670 3.5670
1.7835 1.7835 1.7835
5.3505 5.3505 5.3505
```

# 7
Compound: K3CuMo
Source: the Alexandria database
Functional: PBE
Structure: optimized geometry

Summary:
Polymorph energy (0 for the lowest one) = 0.0 meV/atom
Magnetization = 5.80 μB/f.u.
DFT formation energy = 1.20 eV/atom
Uncorrected energy = -12.2 eV/f.u.
DOS(E_F) = 4.4 states/eV per cell

POSCAR file:
```
K3CuMo
1.0
6.2542 0.0000 0.0000
0.0000 6.2542 0.0000
0.0000 0.0000 6.2542
K Cu Mo
3 1 1
Cartesian
0.0000 0.0000 3.1271
0.0000 3.1271 0.0000
3.1271 0.0000 0.0000
0.0000 0.0000 0.0000
3.1271 3.1271 3.1271
```

# 8
Compound: NbHg2BiO
Source: the Alexandria database
Functional: PBE
Structure: optimized geometry

Summary:
Magnetization = 3.73 μB/f.u.
ΔE_f (raw) = 0.839 eV per atom
Uncorrected energy = -15.3 eV/f.u.
DOS(E_F) = 5.9 states/eV per cell

POSCAR file:
```
NbHg2BiO
1.0
5.7989 0.0000 0.0000
0.0000 5.7989 0.0000
0.0000 0.0000 4.2266
Nb Hg Bi O
1 2 1 1
Cartesian
0.0000 0.0000 0.0000
0.0000 2.8994 2.1133
2.8994 0.0000 2.1133
2.8994 2.8994 2.1133
2.8994 2.8994 0.0000
```